# 1
The following is a meta-GGA SCAN calculation of a PBEsol-optimized structure of Eu2HgGe, from Alexandria.

abc: 7.455 7.455 7.455
angles: 90.00 90.00 90.00
Space group Fm-3m (No. 225)
One atom of each set of equivalent atoms:
Eu 0.250 0.250 0.250
Hg 0.000 0.000 0.000
Ge 0.000 0.000 0.500

E: -49.3954 eV/atom
spin magnetization: 3.50 μB/atom

***

# 2
The following is a meta-GGA SCAN calculation of a PBEsol-optimized structure of YSb2, from Alexandria.

abc: 5.3241 5.3241 3.1890
angles: 90.00 90.00 120.00
Space group P6/mmm (No. 191)
One atom of each set of equivalent atoms:
Y 0.0000 0.0000 0.0000
Sb 0.3333 0.6667 0.5000

spin magnetization: 0.00 μB/atom
formation energy without anion corrections: -0.4405 eV per atom

***

# 3
The following is a meta-GGA SCAN calculation of a PBEsol-optimized structure of CrIn2Pb, from Alexandria.

abc: 3.130 4.736 12.620
angles: 90.00 90.00 90.00
Space group Immm (No. 71)
One atom of each set of equivalent atoms:
Cr 0.000 0.000 0.000
In 0.000 0.500 0.305
Pb 0.000 0.000 0.500

E: -40.0526 eV/atom
spin magnetization: 0.95 μB/atom

***

# 4
The following is a meta-GGA SCAN calculation of a PBEsol-optimized structure of TaVH4, from Alexandria.

abc: 3.0666 3.0666 14.9981
angles: 90.00 90.00 120.00
Space group R-3m (No. 166, hexagonal axes)
One atom of each set of equivalent atoms:
Ta 0.0000 0.0000 0.0000
V 0.0000 0.0000 0.5000
H 0.0000 0.0000 0.1302
H 0.0000 0.0000 0.3812

E: -16.4851 eV/atom
spin magnetization: 0.14 μB/atom

***

# 5
The following is a meta-GGA SCAN calculation of a PBEsol-optimized structure of Li5SbS, from Alexandria.

abc: 11.355 7.900 15.654
angles: 90.00 131.93 90.00
Space group P2_1/c (No. 14)
One atom of each set of equivalent atoms:
Li 0.019 0.092 0.180
Li 0.020 0.093 0.680
Li 0.025 0.249 0.014
Li 0.264 0.749 0.873
Li 0.268 0.570 0.711
Li 0.269 0.571 0.213
Li 0.285 0.075 0.509
Li 0.288 0.077 0.008
Li 0.443 0.241 0.415
Li 0.462 0.249 0.734
Sb 0.009 0.250 0.337
Sb 0.262 0.749 0.545
S 0.237 0.250 0.212
S 0.485 0.745 0.892

spin magnetization: 0.00 μB/atom
formation energy without anion corrections: -0.9520 eV per atom
energy above the most stable polymorph in this dataset: 0.035 eV per atom

***

# 6
The following is a meta-GGA SCAN calculation of a PBEsol-optimized structure of BeSnPCl2, from Alexandria.

abc: 4.275 4.275 4.987
angles: 90.00 90.00 90.00
Space group P4/mmm (No. 123)
One atom of each set of equivalent atoms:
Be 0.000 0.000 0.000
Sn 0.500 0.500 0.500
P 0.000 0.000 0.500
Cl 0.000 0.500 0.000

spin magnetization: 0.00 μB/atom
formation energy without anion corrections: -0.2382 eV per atom

***

# 7
The following is a meta-GGA SCAN calculation of a PBEsol-optimized structure of MnInNi2, from Alexandria.

abc: 5.952 5.952 5.952
angles: 90.00 90.00 90.00
Space group F-43m (No. 216)
One atom of each set of equivalent atoms:
Mn 0.000 0.000 0.000
In 0.250 0.250 0.250
Ni 0.000 0.000 0.500
Ni 0.250 0.250 0.750

E: -21.0314 eV/atom
spin magnetization: 1.06 μB/atom

***

# 8
The following is a meta-GGA SCAN calculation of a PBEsol-optimized structure of BaY4In, from Alexandria.

abc: 9.231 9.231 9.231
angles: 90.00 90.00 90.00
Space group F-43m (No. 216)
One atom of each set of equivalent atoms:
Ba 0.000 0.000 0.000
Y 0.124 0.124 0.624
In 0.250 0.250 0.250

E: -30.4752 eV/atom
spin magnetization: 0.00 μB/atom